Ba2SnF | Alexandria | PBE | relaxed; V = 148.46 Å³/cell; formation energy without anion corrections = -1104.4 meV per atom; ρ = 4.61 g/cm3
1.0
4.142 0.000 0.000
2.071 3.587 0.000
2.071 1.196 9.990
Sn Ba F
1 2 1
Cartesian
0.000 0.000 0.000
2.071 1.196 6.614
6.214 3.587 3.376
4.142 2.392 4.995

BaSnF4 | Alexandria | PBE | relaxed; V = 112.66 Å³/cell; formation energy without anion corrections = -3040.0 meV per atom; ρ = 4.89 g/cm3
1.0
7.386 -0.009 -0.005
6.124 4.129 -0.005
6.124 1.868 3.683
Sn F Ba
1 4 1
Cartesian
9.817 2.994 1.836
17.076 5.208 3.194
2.557 0.780 0.478
12.183 3.716 2.279
7.450 2.272 1.393
0.000 0.000 0.000

Ba2SnF | Alexandria | PBE | relaxed; V = 120.96 Å³/cell; formation energy without anion corrections = -1477.0 meV per atom; ρ = 5.66 g/cm3
1.0
-3.758 0.234 0.396
-0.452 -1.276 -3.536
-0.189 -7.926 2.884
Ba Sn F
2 1 1
Cartesian
-0.146 -6.121 2.227
-0.043 -1.806 0.657
-2.200 -4.484 -0.128
-2.105 -0.521 -1.570

BaSn2F2 | Alexandria | PBE | relaxed; V = 127.80 Å³/cell; formation energy without anion corrections = -1255.1 meV per atom; ρ = 5.36 g/cm3
1.0
-4.637 2.032 0.733
-1.270 -3.969 2.967
-1.286 1.425 5.766
F Ba Sn
2 1 2
Cartesian
-2.755 -1.756 5.292
-4.438 1.244 4.175
0.000 0.000 0.000
-4.741 -0.263 6.439
-2.452 -0.249 3.027

Ba2Sn2F | Alexandria | PBE | relaxed; V = 212.82 Å³/cell; formation energy without anion corrections = -749.4 meV per atom; ρ = 4.14 g/cm3
1.0
6.591 0.000 0.000
0.000 6.591 0.000
3.296 3.296 4.899
Sn F Ba
2 1 2
Cartesian
6.591 6.591 3.566
3.296 3.296 1.333
0.000 0.000 0.000
6.591 3.296 2.449
3.296 6.591 2.449

Ba4Sn2F | Alexandria | PBE | relaxed; V = 276.33 Å³/cell; formation energy without anion corrections = -1238.4 meV per atom; ρ = 4.84 g/cm3
1.0
5.398 0.000 0.000
0.000 5.398 0.000
2.699 2.699 9.482
F Ba Sn
1 4 2
Cartesian
0.000 0.000 0.000
5.399 5.399 3.470
0.000 2.699 0.000
2.699 0.000 0.000
2.699 2.699 6.012
5.398 5.398 7.008
2.699 2.699 2.474

Ba3SnF6 | Alexandria | PBE | relaxed; V = 236.27 Å³/cell; formation energy without anion corrections = -3114.4 meV per atom; ρ = 4.53 g/cm3
1.0
-1.529 -1.903 -3.363
5.490 -5.414 2.112
-6.360 -0.056 5.024
F Ba Sn
6 3 1
Cartesian
-0.052 -4.310 5.103
-2.892 -3.776 3.840
-2.346 -3.063 -1.330
1.262 -4.861 2.306
0.494 -3.597 -0.068
-3.661 -2.511 1.467
2.745 -2.707 1.056
-1.199 -3.686 1.886
-3.180 -0.028 2.512
0.000 0.000 0.000

Ba3Sn5F12 | Alexandria | PBE | relaxed; V = 1724.76 Å³/cell; formation energy without anion corrections = -2404.9 meV per atom; ρ = 4.75 g/cm3
1.0
-2.502 6.691 -10.963
-2.186 -12.735 -2.068
-7.812 4.265 9.592
Ba Sn F
12 20 48
Cartesian
-7.460 -4.376 0.333
-7.694 1.385 6.506
-5.039 2.598 -3.772
-4.415 5.330 -7.453
-8.827 -2.554 4.360
-4.257 -4.383 -3.005
-8.671 -3.458 -4.037
-3.673 0.776 -7.799
-8.242 2.606 -0.433
-8.084 -7.107 4.014
-3.828 1.681 0.598
-4.805 -3.163 -9.945
-9.414 1.095 -3.691
-6.172 -1.341 -5.918
-6.328 -0.437 2.479
-3.906 2.133 4.796
-3.515 -8.937 -3.351
-5.157 5.478 -0.686
0.000 0.000 0.000
-5.429 -5.894 -6.263
-8.985 7.159 -0.088
-6.250 -0.889 -1.719
-4.999 -4.235 3.762
-2.461 -0.141 -3.429
-7.618 5.337 -4.115
-1.093 -6.367 -1.034
-1.251 3.346 -5.482
-3.085 -2.873 0.252
-4.882 -7.115 0.676
-2.344 -3.022 -6.515
-7.070 4.117 2.824
-10.038 -1.637 -0.010
-6.806 -2.874 2.645
-6.177 3.218 4.967
-4.039 0.425 2.944
-4.314 -1.799 -7.510
-5.890 -5.867 -1.228
-5.693 1.096 -6.084
-7.556 7.826 -4.155
-9.250 3.305 1.937
-2.563 -6.654 -3.064
-10.508 2.308 -1.812
-8.705 -5.249 -2.058
-4.944 -9.603 0.716
-7.224 1.295 -2.524
-8.186 0.021 4.071
-2.559 3.196 -7.634
-9.054 -6.307 1.660
-7.166 -4.776 4.935
-6.323 -4.996 -8.406
-3.386 -10.590 -1.494
-6.216 4.024 -5.698
-9.114 8.813 -1.944
-10.144 0.776 0.598
-7.589 -1.281 6.568
-7.967 3.975 7.091
-2.243 -0.640 0.961
-2.356 -2.553 -4.036
-6.609 4.090 -2.211
-10.256 -1.138 -4.400
-8.461 -2.203 -6.383
-9.936 4.876 -0.375
-8.174 -2.493 -1.419
-3.249 -5.083 -5.376
-6.284 -5.801 2.259
-3.446 4.529 -5.098
-4.532 -5.753 -10.530
-6.514 -5.293 -4.104
-4.326 0.715 -2.019
-6.220 -2.459 -3.694
-3.795 3.472 -1.381
-9.941 -4.974 4.195
-4.911 -0.496 -10.007
-5.334 2.999 -8.374
-5.275 -3.073 -0.915
-5.986 3.516 0.665
-3.007 1.563 -5.159
-1.991 -4.085 -1.627
-6.279 0.681 0.255
-9.492 -3.341 1.720